K2NaPrF6 | PBE-GGA | relaxed

Lattice parameters (Å, degrees): 6.447 6.447 6.447 60.00 60.00 60.00
Atoms (fractional coordinates):
1 F 0.251 0.749 0.251
2 F 0.749 0.251 0.749
3 Na 0.500 0.500 0.500
4 F 0.749 0.749 0.251
5 K 0.250 0.250 0.250
6 Pr 0.000 0.000 0.000
7 F 0.749 0.251 0.251
8 K 0.750 0.750 0.750
9 F 0.251 0.749 0.749
10 F 0.251 0.251 0.749

calculated volume	189.5	Å³ per cell
SG	Fm-3m (225)
total magnetization	0.00	μB per cell
ΔE_f (raw)	-3.22	eV/atom